# KSi2Pt

A relaxed KSi2Pt crystal (PBE, Alexandria).

Cell lengths 6.0773, 6.0773, 6.0773 Å; angles 153.44, 123.14, 63.82 degrees
Sites, in units of the cell vectors:
K (0.0000, 0.0000, 0.0000)
Si (0.3000, 0.8000, 0.5000)
Si (0.7000, 0.2000, 0.5000)
Pt (0.5000, 0.5000, 0.0000)

Results
**DOS at the Fermi energy**: 2.43 states/eV/cell
**Calculated total energy**: -17.83 eV/cell
**SG**: Immm, No. 71
**Total magnetization**: 0.0000 μB/atom